Entry from the Alexandria database: crystalline Pm2TcGe6Os at its relaxed geometry (PBE).

Properties
raw total energy: -5.974 eV/atom
size of the total moment: 0.000 μB/f.u.
symmetry: No. 166
ΔH_f (0 K): -94 meV per atom

Cell lengths 7.606, 7.606, 10.109 Å; angles 67.90, 67.90, 60.00 degrees
Sites, in units of the cell vectors:
Pm (0.866, 0.866, 0.403)
Pm (0.134, 0.134, 0.597)
Pm (0.716, 0.716, 0.852)
Pm (0.284, 0.284, 0.148)
Tc (0.000, 0.000, 0.000)
Tc (0.500, 0.500, 0.500)
Ge (0.869, 0.387, 0.358)
Ge (0.387, 0.869, 0.358)
Ge (0.387, 0.387, 0.358)
Ge (0.131, 0.613, 0.642)
Ge (0.613, 0.131, 0.642)
Ge (0.613, 0.613, 0.642)
Ge (0.734, 0.204, 0.857)
Ge (0.204, 0.734, 0.857)
Ge (0.204, 0.204, 0.857)
Ge (0.266, 0.796, 0.143)
Ge (0.796, 0.266, 0.143)
Ge (0.796, 0.796, 0.143)
Os (0.607, 0.607, 0.178)
Os (0.393, 0.393, 0.822)